Cs3Pm5F12 | PBE | relaxed

CIF file:
```
data_Cs3Pm5F12
_chemical_formula_sum 'Cs24 Pm40 F96'
_symmetry_space_group_name_H-M 'I a -3 d'
_symmetry_Int_Tables_number 230
_symmetry_space_group_name_Hall '-I 4bd 2c 3'
_cell_length_a 15.601
_cell_length_b 15.601
_cell_length_c 15.601
_cell_angle_alpha 90.00
_cell_angle_beta 90.00
_cell_angle_gamma 90.00
loop_
_atom_site_label
_atom_site_type_symbol
_atom_site_fract_x
_atom_site_fract_y
_atom_site_fract_z
Cs1 Cs 0.000 0.250 0.125
Pm1 Pm 0.000 0.000 0.000
Pm2 Pm 0.000 0.250 0.375
F1 F 0.023 0.038 0.642
```

Values from the calculation:
E_form (uncorrected) ... -2.98 eV/atom
Fermi-level density of states ... 0.49 states/eV/atom
Theoretical density ... 4.729 g/cm³
Total magnetic moment ... 4.87 μB/f.u.